A plane-wave DFT calculation with PBE was carried out for a geometry-optimized CsCuSe2 structure.

```
CsCuSe2
1.0
2.2456 0.0000 9.1490
-1.1228 1.9448 9.1490
-1.1228 -1.9448 9.1490
Se Cu Cs
2 1 1
direct
0.8791 0.8791 0.8791
0.1209 0.1209 0.1209
0.5000 0.5000 0.5000
0.0000 0.0000 0.0000
```

Output
ΔE_f (raw), meV/atom: -47.1